# 1
Entry from Alexandria: an optimized crystal structure of TlAsOs2 (PBE).

Values from the calculation:
DOS(E_F) ... 4.176 states/eV per cell
Formation energy from the elements ... 755 meV/atom
Energy above the lowest structure with this stoichiometry ... 0.346 eV per atom
Space group ... Cmm2 (35)
Size of the total moment ... 0.00 Bohr magnetons per cell

POSCAR file:
```
TlAsOs2
1.0
1.434 -2.512 0.000
1.434 2.512 0.000
0.000 0.000 10.677
Tl As Os
1 1 2
direct
0.000 0.000 0.000
0.500 0.500 0.342
0.000 0.000 0.541
0.500 0.500 0.744
```

# 2
Entry from Alexandria: an optimized crystal structure of TlAsOs2 (PBE).

Values from the calculation:
DOS(E_F) ... 4.249 states/eV per cell
Formation energy from the elements ... 1096 meV/atom
Energy above the lowest structure with this stoichiometry ... 0.686 eV per atom
Space group ... C2/m (12)
Size of the total moment ... 0.00 Bohr magnetons per cell

POSCAR file:
```
TlAsOs2
1.0
3.032 -4.376 0.000
3.032 4.376 0.000
-1.507 0.000 2.623
Tl As Os
1 1 2
direct
0.000 0.000 0.000
0.500 0.500 0.000
0.000 0.500 0.500
0.500 0.000 0.500
```

# 3
Entry from Alexandria: an optimized crystal structure of TlAsOs3 (PBE).

Values from the calculation:
DOS(E_F) ... 9.884 states/eV per cell
Formation energy from the elements ... 3300 meV/atom
Energy above the lowest structure with this stoichiometry ... 1.706 eV per atom
Space group ... Pm-3m (221)
Size of the total moment ... 0.00 Bohr magnetons per cell

POSCAR file:
```
TlAsOs3
1.0
4.913 0.000 0.000
0.000 4.913 0.000
0.000 0.000 4.913
Tl As Os
1 1 3
direct
0.000 0.000 0.000
0.500 0.500 0.500
0.000 0.000 0.500
0.000 0.500 0.000
0.500 0.000 0.000
```

# 4
Entry from Alexandria: an optimized crystal structure of TlAsOs2 (PBE).

Values from the calculation:
DOS(E_F) ... 4.033 states/eV per cell
Formation energy from the elements ... 874 meV/atom
Energy above the lowest structure with this stoichiometry ... 0.465 eV per atom
Space group ... Imm2 (44)
Size of the total moment ... 0.00 Bohr magnetons per cell

POSCAR file:
```
TlAsOs2
1.0
-1.471 2.328 5.164
1.471 -2.328 5.164
1.471 2.328 -5.164
Tl As Os
1 1 2
direct
0.000 0.000 0.000
0.287 0.787 0.500
0.507 0.507 0.000
0.720 0.220 0.500
```

# 5
Entry from Alexandria: an optimized crystal structure of TlAsOs2 (PBE).

Values from the calculation:
DOS(E_F) ... 3.877 states/eV per cell
Formation energy from the elements ... 962 meV/atom
Energy above the lowest structure with this stoichiometry ... 0.553 eV per atom
Space group ... P4/mmm (123)
Size of the total moment ... 0.00 Bohr magnetons per cell

POSCAR file:
```
TlAsOs2
1.0
4.531 0.000 0.000
0.000 4.531 0.000
0.000 0.000 3.225
Tl As Os
1 1 2
direct
0.000 0.000 0.000
0.500 0.500 0.000
0.000 0.500 0.500
0.500 0.000 0.500
```

# 6
Entry from Alexandria: an optimized crystal structure of TlAsOs2 (PBE).

Values from the calculation:
DOS(E_F) ... 3.526 states/eV per cell
Formation energy from the elements ... 625 meV/atom
Energy above the lowest structure with this stoichiometry ... 0.216 eV per atom
Space group ... Cm (8)
Size of the total moment ... 0.00 Bohr magnetons per cell

POSCAR file:
```
TlAsOs2
1.0
4.255 -1.468 0.000
4.255 1.468 0.000
-1.042 0.000 6.888
Tl As Os
1 1 2
direct
0.000 0.000 0.000
0.230 0.230 0.594
0.501 0.501 0.414
0.760 0.760 0.289
```

# 7
Entry from Alexandria: an optimized crystal structure of TlAsOs2 (PBE).

Values from the calculation:
DOS(E_F) ... 4.954 states/eV per cell
Formation energy from the elements ... 1091 meV/atom
Energy above the lowest structure with this stoichiometry ... 0.682 eV per atom
Space group ... I-4m2 (119)
Size of the total moment ... 0.00 Bohr magnetons per cell

POSCAR file:
```
TlAsOs2
1.0
-2.118 2.118 3.828
2.118 -2.118 3.828
2.118 2.118 -3.828
Tl As Os
1 1 2
direct
0.000 0.000 0.000
0.250 0.750 0.500
0.500 0.500 0.000
0.750 0.250 0.500
```

# 8
Entry from Alexandria: an optimized crystal structure of TlAsOs (PBE).

Values from the calculation:
DOS(E_F) ... 3.226 states/eV per cell
Formation energy from the elements ... 724 meV/atom
Energy above the lowest structure with this stoichiometry ... 0.398 eV per atom
Space group ... F-43m (216)
Size of the total moment ... 0.00 Bohr magnetons per cell

POSCAR file:
```
TlAsOs
1.0
0.000 3.162 3.162
3.162 0.000 3.162
3.162 3.162 0.000
Tl As Os
1 1 1
direct
0.000 0.000 0.000
0.500 0.500 0.500
0.750 0.750 0.750
```

# 9
Entry from Alexandria: an optimized crystal structure of U2AsOs (PBE).

Values from the calculation:
DOS(E_F) ... 7.458 states/eV per cell
Formation energy from the elements ... 39 meV/atom
Energy above the lowest structure with this stoichiometry ... 0.290 eV per atom
Space group ... R-3m (166)
Size of the total moment ... 0.41 Bohr magnetons per cell

POSCAR file:
```
U2AsOs
1.0
1.507 0.870 9.611
-1.507 0.870 9.611
0.000 -1.740 9.611
U As Os
2 1 1
direct
0.247 0.247 0.247
0.753 0.753 0.753
0.000 0.000 0.000
0.500 0.500 0.500
```

# 10
Entry from Alexandria: an optimized crystal structure of UAs2Os (PBE).

Values from the calculation:
DOS(E_F) ... 8.571 states/eV per cell
Formation energy from the elements ... 15 meV/atom
Space group ... R-3m (166)
Size of the total moment ... 2.25 Bohr magnetons per cell

POSCAR file:
```
UAs2Os
1.0
2.473 1.428 3.486
-2.473 1.428 3.486
0.000 -2.856 3.486
U As Os
1 2 1
direct
0.000 0.000 0.000
0.263 0.263 0.263
0.737 0.737 0.737
0.500 0.500 0.500
```

# 11
Entry from Alexandria: an optimized crystal structure of UAs12Os4 (PBE).

Values from the calculation:
DOS(E_F) ... 10.392 states/eV per cell
Formation energy from the elements ... -260 meV/atom
Space group ... Im-3 (204)
Size of the total moment ... 2.04 Bohr magnetons per cell

POSCAR file:
```
UAs12Os4
1.0
-4.304 4.304 4.304
4.304 -4.304 4.304
4.304 4.304 -4.304
U As Os
1 12 4
direct
0.000 0.000 0.000
0.149 0.345 0.494
0.149 0.655 0.804
0.196 0.851 0.345
0.345 0.196 0.851
0.345 0.494 0.149
0.494 0.149 0.345
0.506 0.851 0.655
0.655 0.506 0.851
0.655 0.804 0.149
0.804 0.149 0.655
0.851 0.345 0.196
0.851 0.655 0.506
0.000 0.000 0.500
0.000 0.500 0.000
0.500 0.000 0.000
0.500 0.500 0.500
```

# 12
Entry from Alexandria: an optimized crystal structure of U2AsOs (PBE).

Values from the calculation:
DOS(E_F) ... 8.398 states/eV per cell
Formation energy from the elements ... -252 meV/atom
Energy above the lowest structure with this stoichiometry ... 0.000 eV per atom
Space group ... P4/mmm (123)
Size of the total moment ... 4.26 Bohr magnetons per cell

POSCAR file:
```
U2AsOs
1.0
3.191 0.000 0.000
0.000 3.191 0.000
0.000 0.000 7.838
U As Os
2 1 1
direct
0.000 0.000 0.240
0.000 0.000 0.760
0.500 0.500 0.500
0.500 0.500 0.000
```

# 13
Entry from Alexandria: an optimized crystal structure of V2AsOs (PBE).

Values from the calculation:
DOS(E_F) ... 6.808 states/eV per cell
Formation energy from the elements ... 734 meV/atom
Energy above the lowest structure with this stoichiometry ... 0.836 eV per atom
Space group ... I-42d (122)
Size of the total moment ... 5.69 Bohr magnetons per cell

POSCAR file:
```
V2AsOs
1.0
-2.892 2.892 5.132
2.892 -2.892 5.132
2.892 2.892 -5.132
V As Os
4 2 2
direct
0.114 0.625 0.989
0.375 0.364 0.489
0.636 0.125 0.011
0.875 0.886 0.511
0.250 0.750 0.500
0.500 0.500 0.000
0.000 0.000 0.000
0.750 0.250 0.500
```

# 14
Entry from Alexandria: an optimized crystal structure of V2AsOs (PBE).

Values from the calculation:
DOS(E_F) ... 5.647 states/eV per cell
Formation energy from the elements ... 70 meV/atom
Energy above the lowest structure with this stoichiometry ... 0.171 eV per atom
Space group ... Fm-3m (225)
Size of the total moment ... 1.15 Bohr magnetons per cell

POSCAR file:
```
V2AsOs
1.0
0.000 3.050 3.050
3.050 0.000 3.050
3.050 3.050 0.000
V As Os
2 1 1
direct
0.250 0.250 0.250
0.750 0.750 0.750
0.000 0.000 0.000
0.500 0.500 0.500
```

# 15
Entry from Alexandria: an optimized crystal structure of V2AsOs (PBE).

Values from the calculation:
DOS(E_F) ... 5.008 states/eV per cell
Formation energy from the elements ... -102 meV/atom
Energy above the lowest structure with this stoichiometry ... 0.000 eV per atom
Space group ... P4/mmm (123)
Size of the total moment ... 0.93 Bohr magnetons per cell

POSCAR file:
```
V2AsOs
1.0
3.036 0.000 0.000
0.000 3.036 0.000
0.000 0.000 6.113
V As Os
2 1 1
direct
0.000 0.000 0.246
0.000 0.000 0.754
0.500 0.500 0.000
0.500 0.500 0.500
```

# 16
Entry from Alexandria: an optimized crystal structure of ZrVAsOs2 (PBE).

Values from the calculation:
DOS(E_F) ... 6.272 states/eV per cell
Formation energy from the elements ... 1143 meV/atom
Space group ... P4/mmm (123)
Size of the total moment ... 0.52 Bohr magnetons per cell

POSCAR file:
```
ZrVAsOs2
1.0
4.504 0.000 0.000
0.000 4.504 0.000
0.000 0.000 4.838
Zr V As Os
1 1 1 2
direct
0.000 0.000 0.000
0.000 0.000 0.500
0.500 0.500 0.000
0.000 0.500 0.500
0.500 0.000 0.500
```

# 17
Entry from Alexandria: an optimized crystal structure of As3OsW (PBE).

Values from the calculation:
DOS(E_F) ... 5.284 states/eV per cell
Formation energy from the elements ... 1473 meV/atom
Space group ... Pm-3m (221)
Size of the total moment ... 2.95 Bohr magnetons per cell

POSCAR file:
```
As3OsW
1.0
4.771 0.000 0.000
0.000 4.771 0.000
0.000 0.000 4.771
As Os W
3 1 1
direct
0.000 0.000 0.500
0.000 0.500 0.000
0.500 0.000 0.000
0.000 0.000 0.000
0.500 0.500 0.500
```

# 18
Entry from Alexandria: an optimized crystal structure of AsOs2W (PBE).

Values from the calculation:
DOS(E_F) ... 4.260 states/eV per cell
Formation energy from the elements ... 487 meV/atom
Space group ... I4/mmm (139)
Size of the total moment ... 0.00 Bohr magnetons per cell

POSCAR file:
```
AsOs2W
1.0
-2.017 2.017 3.720
2.017 -2.017 3.720
2.017 2.017 -3.720
As Os W
1 2 1
direct
0.000 0.000 0.000
0.250 0.750 0.500
0.750 0.250 0.500
0.500 0.500 0.000
```

# 19
Entry from Alexandria: an optimized crystal structure of AsOs2W (PBE).

Values from the calculation:
DOS(E_F) ... 3.730 states/eV per cell
Formation energy from the elements ... 310 meV/atom
Space group ... R3m (160)
Size of the total moment ... 0.00 Bohr magnetons per cell

POSCAR file:
```
AsOs2W
1.0
1.418 0.819 8.622
-1.418 0.819 8.622
0.000 -1.637 8.622
As Os W
1 2 1
direct
0.000 0.000 0.000
0.497 0.497 0.497
0.746 0.746 0.746
0.249 0.249 0.249
```

# 20
Entry from Alexandria: an optimized crystal structure of AsOs2W (PBE).

Values from the calculation:
DOS(E_F) ... 4.297 states/eV per cell
Formation energy from the elements ... 701 meV/atom
Space group ... Cmm2 (35)
Size of the total moment ... 0.00 Bohr magnetons per cell

POSCAR file:
```
AsOs2W
1.0
1.439 -2.409 0.000
1.439 2.409 0.000
0.000 0.000 8.996
As Os W
1 2 1
direct
0.000 0.000 0.000
0.000 0.000 0.509
0.500 0.500 0.764
0.500 0.500 0.264
```